The following is a PBE-GGA calculation of CeAlGa2Au after structural relaxation, from the Alexandria database.

The structure in POSCAR format:
```
CeAlGa2Au
1.0
-2.149 2.165 5.454
2.149 -2.165 5.454
2.149 2.165 -5.454
Ce Al Ga Au
1 1 2 1
Cartesian
0.000 0.000 0.000
2.149 0.000 2.579
0.000 0.000 6.448
0.000 2.165 2.534
0.000 0.000 3.938
```

## Properties
**Space-group type**: Imm2, No. 44
**Raw total energy**: -4.3827 eV/atom

The following is a PBE-GGA calculation of Li3Hf2CuSe6 after structural relaxation, from the Alexandria database.

The structure in POSCAR format:
```
Li3Hf2CuSe6
1.0
3.319 -5.738 0.000
3.319 5.738 0.000
-2.235 0.000 6.398
Li Hf Cu Se
3 2 1 6
Cartesian
0.000 0.000 0.000
3.319 1.937 0.000
3.319 -1.937 0.000
2.201 3.828 3.199
2.201 -3.828 3.199
2.201 0.000 3.199
1.085 1.935 1.665
-0.062 0.000 4.759
1.085 -1.935 1.665
3.318 1.935 4.733
4.465 0.000 1.638
3.318 -1.935 4.733
```

## Properties
**Space-group type**: C2/m, No. 12
**Uncorrected formation energy**: -1121 meV/atom

The following is a PBE-GGA calculation of K4CO6 after structural relaxation, from the Alexandria database.

The structure in POSCAR format:
```
K4CO6
1.0
5.463 0.000 0.000
-2.431 5.219 0.000
-1.007 -1.112 6.910
K C O
4 1 6
Cartesian
0.000 0.000 0.000
-2.789 4.342 3.530
-0.437 2.356 4.920
2.481 1.349 1.897
2.111 0.693 5.228
-0.261 1.313 2.323
-0.230 3.428 1.495
1.029 0.224 5.793
0.968 3.950 1.255
3.027 -0.133 4.815
2.264 1.982 5.060
```

## Properties
**Space-group type**: P1, No. 1
**Uncorrected formation energy**: -1272 meV/atom

The following is a PBE-GGA calculation of Cs2HfCl4F2 after structural relaxation, from the Alexandria database.

The structure in POSCAR format:
```
Cs2HfCl4F2
1.0
6.073 -3.736 0.000
6.073 3.736 0.000
-1.195 0.000 5.906
Cs Hf Cl F
2 1 4 2
Cartesian
1.696 0.000 1.933
9.253 0.000 3.972
6.073 0.000 0.000
4.742 1.778 1.117
6.208 1.778 4.788
4.742 -1.778 1.117
6.208 -1.778 4.788
3.582 0.000 4.406
7.368 0.000 1.500
```

## Properties
**Space-group type**: C2/m, No. 12
**Uncorrected formation energy**: -2511 meV/atom

The following is a PBE-GGA calculation of TlSiSn3 after structural relaxation, from the Alexandria database.

The structure in POSCAR format:
```
TlSiSn3
1.0
5.652 0.000 0.000
0.000 5.652 0.000
0.000 0.000 5.652
Tl Si Sn
1 1 3
Cartesian
0.000 0.000 0.000
2.826 2.826 2.826
0.000 0.000 2.826
0.000 2.826 0.000
2.826 0.000 0.000
```

## Properties
**Space-group type**: Pm-3m, No. 221
**Uncorrected formation energy**: 1095 meV/atom

The following is a PBE-GGA calculation of Cs5TiTe4 after structural relaxation, from the Alexandria database.

The structure in POSCAR format:
```
Cs5TiTe4
1.0
10.953 0.000 0.000
0.000 11.578 0.000
0.000 0.000 9.020
Cs Ti Te
10 2 8
Cartesian
0.139 0.688 2.113
0.139 5.100 2.113
2.738 8.683 3.262
5.338 0.688 2.113
5.338 5.100 2.113
5.615 6.477 6.907
5.615 10.889 6.907
8.215 2.894 5.758
10.814 6.477 6.907
10.814 10.889 6.907
2.738 2.894 6.416
8.215 8.683 2.604
0.463 2.894 7.940
2.738 0.621 4.887
2.738 5.168 4.887
5.014 2.894 7.940
5.939 8.683 1.080
8.215 6.410 4.133
8.215 10.957 4.133
10.490 8.683 1.080
```

## Properties
**Space-group type**: Pmmn, No. 59
**Uncorrected formation energy**: -916 meV/atom

Here are the calculated size of the total moment numbers, same order: 0.80 0.00 2.03 0.00 0.00 2.01 (μB per cell).